An optimized crystal structure of LiMgAu3. Source: Alexandria, functional PBE.

POSCAR file:
```
LiMgAu3
1.0
4.350 0.000 0.000
0.000 6.809 0.000
-2.164 0.000 6.400
Li Mg Au
2 2 6
Direct
0.149 0.250 0.297 Li
0.851 0.750 0.703 Li
0.146 0.750 0.291 Mg
0.854 0.250 0.709 Mg
0.323 0.512 0.648 Au
0.323 0.988 0.648 Au
0.495 0.250 0.994 Au
0.505 0.750 0.006 Au
0.677 0.012 0.352 Au
0.677 0.488 0.352 Au
```

Formation energy, eV per atom: -0.43
Relative energy among the computed polymorphs, meV/atom: 14